No. 1
CaCuNi2: single point on PBEsol structure, meta-GGA SCAN.

Cell and atoms, written as POSCAR:
```
CaCuNi2
1.0
2.9234 0.0000 0.0000
0.0000 4.3468 0.0000
0.0000 0.0000 8.8720
Ca Cu Ni
2 2 4
direct
0.0000 0.0000 0.0000
0.5000 0.5000 0.5000
0.0000 0.5000 0.7800
0.5000 0.0000 0.2800
0.0000 0.0000 0.5078
0.0000 0.5000 0.2253
0.5000 0.0000 0.7253
0.5000 0.5000 0.0078
```

Magnetic moment = 0.002 μB/f.u.
Formation energy from the elements = 0.27 eV per atom
Crystal system = orthorhombic
Total energy = -14.0308 eV/atom



No. 2
Ca2TiCuNi: single point on PBEsol structure, meta-GGA SCAN.

Cell and atoms, written as POSCAR:
```
Ca2TiCuNi
1.0
5.1039 0.0000 0.0000
0.0000 5.1039 0.0000
0.0000 0.0000 4.5227
Ca Ti Cu Ni
2 1 1 1
direct
0.0000 0.5000 0.0000
0.5000 0.0000 0.0000
0.0000 0.0000 0.5000
0.5000 0.5000 0.5000
0.5000 0.5000 0.0000
```

Magnetic moment = 3.179 μB/f.u.
Formation energy from the elements = 0.54 eV per atom
Crystal system = tetragonal
Total energy = -12.8073 eV/atom



Number 2 is which compound? Ca2TiCuNi